[1]
First-principles (PBE-GGA) data for a geometry-optimized VGaBiRh2 structure, as listed in Alexandria via LeMat-Bulk.

abc: 4.582 4.582 4.774
angles: 90.00 90.00 90.00
Space group P4/mmm (No. 123)
Unique sites:
V1 0.000 0.000 0.000 x1
Ga1 0.000 0.000 0.500 x1
Bi1 0.500 0.500 0.500 x1
Rh1 0.000 0.500 0.000 x2

Properties
Density, g/cm³: 8.9
ΔH_f (0 K), meV/atom: 457



[2]
First-principles (PBE-GGA) data for a geometry-optimized Na3Tb3BiTe8 structure, as listed in Alexandria via LeMat-Bulk.

abc: 15.285 8.797 9.202
angles: 90.00 123.70 90.00
Space group C2/m (No. 12)
Unique sites:
Na1 0.000 0.000 0.000 x2
Na2 0.250 0.250 0.000 x4
Tb1 0.000 0.500 0.500 x2
Tb2 0.250 0.250 0.500 x4
Bi1 0.000 0.000 0.500 x2
Te1 0.007 0.255 0.265 x8
Te2 0.245 0.500 0.734 x4
Te3 0.249 0.000 0.735 x4

Properties
Density, g/cm³: 5.7
E_form (uncorrected), meV per atom: -1047



[3]
First-principles (PBE-GGA) data for a geometry-optimized NdSm2Ga2Pt7 structure, as listed in Alexandria via LeMat-Bulk.

abc: 5.853 5.784 14.250
angles: 90.00 99.05 90.00
Space group C2/m (No. 12)
Unique sites:
Nd1 0.000 0.000 0.000 x2
Sm1 0.121 0.000 0.359 x4
Ga1 0.099 0.500 0.258 x4
Pt1 0.000 0.500 0.000 x2
Pt2 0.137 0.500 0.432 x4
Pt3 0.189 0.250 0.842 x8

Properties
Density, g/cm³: 13.6
ΔH_f (0 K), meV/atom: -933



[4]
First-principles (PBE-GGA) data for a geometry-optimized NaAs12Rh4 structure, as listed in Alexandria via LeMat-Bulk.

abc: 8.628 8.628 8.628
angles: 90.00 90.00 90.00
Space group Im-3 (No. 204)
Unique sites:
Na1 0.000 0.000 0.000 x2
As1 0.000 0.349 0.147 x24
Rh1 0.250 0.250 0.250 x8

Properties
Density, g/cm³: 6.9
ΔH_f (0 K), meV/atom: -445



[5]
First-principles (PBE-GGA) data for a geometry-optimized Tb2EuBe structure, as listed in Alexandria via LeMat-Bulk.

abc: 3.4647 3.4647 35.3847
angles: 90.00 90.00 120.00
Space group R-3m (No. 166, hexagonal axes)
Unique sites:
Tb1 0.0000 0.0000 0.0818 x6
Eu1 0.0000 0.0000 0.5000 x3
Be1 0.0000 0.0000 0.0000 x3

Properties
Density, g/cm³: 6.5
Energy above the lowest structure with this stoichiometry, eV/f.u.: 2.682
ΔH_f (0 K), meV/atom: 780



[6]
First-principles (PBE-GGA) data for a geometry-optimized CeH2 structure, as listed in Alexandria via LeMat-Bulk.

abc: 3.849 3.849 5.427
angles: 90.00 90.00 90.00
Space group I4/mmm (No. 139)
Unique sites:
Ce1 0.000 0.000 0.000 x2
H1 0.000 0.500 0.250 x4

Properties
Density, g/cm³: 5.9
VASP energy, eV per cell: -28.47



[7]
First-principles (PBE-GGA) data for a geometry-optimized La3TlRu structure, as listed in Alexandria via LeMat-Bulk.

abc: 5.4212 5.4212 11.4451
angles: 90.00 90.00 120.00
Space group P6_3/mmc (No. 194)
Unique sites:
La1 0.0000 0.0000 0.2500 x2
La2 0.3333 0.6667 0.0662 x4
Tl1 0.3333 0.6667 0.7500 x2
Ru1 0.0000 0.0000 0.0000 x2

Properties
Density, g/cm³: 8.2
Energy above the lowest structure with this stoichiometry, eV/f.u.: 0.718
ΔH_f (0 K), meV/atom: -246



[8]
First-principles (PBE-GGA) data for a geometry-optimized NdScSbSe structure, as listed in Alexandria via LeMat-Bulk.

abc: 4.0991 4.0991 21.9926
angles: 90.00 90.00 120.00
Space group R3m (No. 160, hexagonal axes)
Unique sites:
Nd1 0.0000 0.0000 0.0000 x3
Sc1 0.0000 0.0000 0.1661 x3
Sb1 0.0000 0.0000 0.5736 x3
Se1 0.0000 0.0000 0.7581 x3

Properties
Density, g/cm³: 6.1
E_form (uncorrected), meV per atom: -1307